Entry from the Alexandria database: a geometry-optimized LiCaCd structure (GGA-PBE).

Space-group type = P3m1
Energy relative to the elements = -0.0438 eV/atom
Electronic total energy = -1.654 eV per atom
Density of states at the Fermi level = 0.53 states/eV per atom
ΔE to the lowest computed polymorph = 204 meV per atom

```
LiCaCd
1.0
3.891 0.000 0.000
-1.945 3.369 0.000
0.000 0.000 6.503
Li Ca Cd
1 1 1
Direct
0.000 0.000 0.000
0.667 0.333 0.392
0.333 0.667 0.751
```